No. 1
{
  "formula": "CuHg2Ir",
  "functional": "PBE-GGA",
  "state": "optimized geometry",
  "dft_energy_ev_per_cell": -12.131,
  "cell": [[-2.953, -4.372, 0.994], [-0.117, -5.060, 1.788], [-1.268, 0.090, 4.605]],
  "species": ["Cu", "Hg", "Hg", "Ir"],
  "frac_coords": [[0.776, 0.776, 0.782], [0.016, 0.016, 0.943], [0.231, 0.231, 0.312], [0.478, 0.478, 0.464]]
}



No. 2
{
  "formula": "CuHgIr2",
  "functional": "PBE-GGA",
  "state": "optimized geometry",
  "dft_energy_ev_per_cell": -21.161,
  "cell": [[-2.556, -1.150, 0.215], [0.585, -1.704, -2.158], [2.849, -5.392, 5.033]],
  "species": ["Cu", "Hg", "Ir", "Ir"],
  "frac_coords": [[0.000, 0.000, 0.479], [0.500, 0.500, 0.742], [0.000, 0.000, 0.028], [0.500, 0.500, 0.251]]
}



Number 1: mass density 15.5 g/cm3. Number 2: mass density 17.2 g/cm3.